# CdNi3Cl

An optimized crystal structure of CdNi3Cl (PBE, Alexandria via LeMat-Bulk).

Results
For the density of states at the Fermi level, the calculation gives 23.9 states/eV/cell. Its density is 4871 kg/m3. The energy above the most stable polymorph in this dataset comes out at 853 meV per atom.

Geometry as CIF:
```
data_CdNi3Cl
_chemical_formula_sum 'Cd1 Ni3 Cl1'
_cell_length_a 4.7977
_cell_length_b 4.7977
_cell_length_c 4.7977
_cell_angle_alpha 90.00
_cell_angle_beta 90.00
_cell_angle_gamma 90.00
_symmetry_space_group_name_H-M 'P 1'
_symmetry_Int_Tables_number 1
loop_
_symmetry_equiv_pos_as_xyz
'x,y,z'
loop_
_atom_site_label
_atom_site_type_symbol
_atom_site_fract_x
_atom_site_fract_y
_atom_site_fract_z
Ni1 Ni 0.0000 0.5000 0.0000
Ni2 Ni 0.0000 0.0000 0.5000
Ni3 Ni 0.5000 0.0000 0.0000
Cl1 Cl 0.5000 0.5000 0.5000
Cd1 Cd 0.0000 0.0000 0.0000
```


# SiOsPt2

An optimized crystal structure of SiOsPt2 (PBE, Alexandria via LeMat-Bulk).

Results
For the density of states at the Fermi level, the calculation gives 2.1 states/eV/cell. Its density is 17315 kg/m3. The electronic total energy comes out at -7.380 eV per atom.

Geometry as CIF:
```
data_SiOsPt2
_chemical_formula_sum 'Si1 Os1 Pt2'
_cell_length_a 8.6473
_cell_length_b 8.6473
_cell_length_c 8.6473
_cell_angle_alpha 18.75
_cell_angle_beta 18.75
_cell_angle_gamma 18.75
_symmetry_space_group_name_H-M 'P 1'
_symmetry_Int_Tables_number 1
loop_
_symmetry_equiv_pos_as_xyz
'x,y,z'
loop_
_atom_site_label
_atom_site_type_symbol
_atom_site_fract_x
_atom_site_fract_y
_atom_site_fract_z
Os1 Os 0.7603 0.7603 0.7603
Pt1 Pt 0.0019 0.0019 0.0019
Pt2 Pt 0.2395 0.2395 0.2395
Si1 Si 0.4983 0.4983 0.4983
```


# Sm2Al3SnPd4

An optimized crystal structure of Sm2Al3SnPd4 (PBE, Alexandria via LeMat-Bulk).

Results
For the density of states at the Fermi level, the calculation gives 5.7 states/eV/cell. Its density is 7746 kg/m3. The value obtained for the formation energy is -0.83 eV per atom.

Geometry as CIF:
```
data_Sm2Al3SnPd4
_chemical_formula_sum 'Sm2 Al3 Sn1 Pd4'
_cell_length_a 4.3290
_cell_length_b 4.3290
_cell_length_c 10.5942
_cell_angle_alpha 90.00
_cell_angle_beta 90.00
_cell_angle_gamma 90.00
_symmetry_space_group_name_H-M 'P 1'
_symmetry_Int_Tables_number 1
loop_
_symmetry_equiv_pos_as_xyz
'x,y,z'
loop_
_atom_site_label
_atom_site_type_symbol
_atom_site_fract_x
_atom_site_fract_y
_atom_site_fract_z
Sm1 Sm 0.5000 0.0000 0.2452
Sm2 Sm 0.0000 0.5000 0.7548
Al1 Al 0.0000 0.0000 0.5000
Al2 Al 0.5000 0.0000 0.8789
Al3 Al 0.0000 0.5000 0.1211
Sn1 Sn 0.5000 0.5000 0.5000
Pd1 Pd 0.5000 0.5000 0.0000
Pd2 Pd 0.0000 0.0000 0.0000
Pd3 Pd 0.5000 0.0000 0.6466
Pd4 Pd 0.0000 0.5000 0.3534
```


# Mg2Si

An optimized crystal structure of Mg2Si (PBE, Alexandria via LeMat-Bulk).

Results
For the density of states at the Fermi level, the calculation gives 4.2 states/eV/cell. Its density is 2113 kg/m3. The electronic total energy comes out at -2.815 eV per atom.

Geometry as CIF:
```
data_Mg2Si
_chemical_formula_sum 'Mg8 Si4'
_cell_length_a 5.4079
_cell_length_b 6.7400
_cell_length_c 7.5222
_cell_angle_alpha 102.10
_cell_angle_beta 110.51
_cell_angle_gamma 100.49
_symmetry_space_group_name_H-M 'P 1'
_symmetry_Int_Tables_number 1
loop_
_symmetry_equiv_pos_as_xyz
'x,y,z'
loop_
_atom_site_label
_atom_site_type_symbol
_atom_site_fract_x
_atom_site_fract_y
_atom_site_fract_z
Mg1 Mg 0.6285 0.2982 0.7933
Mg2 Mg 0.1593 0.5201 0.6897
Mg3 Mg 0.9434 0.0131 0.5760
Mg4 Mg 0.3528 0.0553 0.3208
Mg5 Mg 0.5767 0.5334 0.4541
Mg6 Mg 0.2286 0.3257 0.0247
Mg7 Mg 0.8511 0.2334 0.2364
Mg8 Mg 0.8675 0.7944 0.9208
Si1 Si 0.5629 0.7414 0.1517
Si2 Si 0.3834 0.9564 0.9242
Si3 Si 0.4304 0.8683 0.6093
Si4 Si 0.0160 0.6610 0.2992
```


# RbHfI

An optimized crystal structure of RbHfI (PBE, Alexandria via LeMat-Bulk).

Results
For the density of states at the Fermi level, the calculation gives 7.7 states/eV/cell. Its density is 5674 kg/m3. The energy above the most stable polymorph in this dataset comes out at 26 meV per atom.

Geometry as CIF:
```
data_RbHfI
_chemical_formula_sum 'Rb4 Hf4 I4'
_cell_length_a 4.0921
_cell_length_b 4.0914
_cell_length_c 27.6253
_cell_angle_alpha 90.00
_cell_angle_beta 98.37
_cell_angle_gamma 90.00
_symmetry_space_group_name_H-M 'P 1'
_symmetry_Int_Tables_number 1
loop_
_symmetry_equiv_pos_as_xyz
'x,y,z'
loop_
_atom_site_label
_atom_site_type_symbol
_atom_site_fract_x
_atom_site_fract_y
_atom_site_fract_z
Rb1 Rb 0.1795 0.0000 0.5754
Rb2 Rb 0.1795 0.5000 0.0754
Rb3 Rb 0.3460 0.0000 0.7449
Rb4 Rb 0.3460 0.5000 0.2449
Hf1 Hf 0.9814 0.0000 0.3712
Hf2 Hf 0.9814 0.5000 0.8712
Hf3 Hf 0.4987 0.0000 0.8888
Hf4 Hf 0.4987 0.5000 0.3888
I1 I 0.5998 0.0000 0.9936
I2 I 0.5998 0.5000 0.4936
I3 I 0.7629 0.0000 0.1607
I4 I 0.7629 0.5000 0.6607
```


# CrIrSe2N

An optimized crystal structure of CrIrSe2N (PBE, Alexandria via LeMat-Bulk).

Results
For the density of states at the Fermi level, the calculation gives 6.4 states/eV/cell. Its density is 7335 kg/m3. The energy above the most stable polymorph in this dataset comes out at 296 meV per atom.

Geometry as CIF:
```
data_CrIrSe2N
_chemical_formula_sum 'Cr1 Ir1 Se2 N1'
_cell_length_a 5.0904
_cell_length_b 5.0904
_cell_length_c 3.6356
_cell_angle_alpha 90.00
_cell_angle_beta 90.00
_cell_angle_gamma 90.00
_symmetry_space_group_name_H-M 'P 1'
_symmetry_Int_Tables_number 1
loop_
_symmetry_equiv_pos_as_xyz
'x,y,z'
loop_
_atom_site_label
_atom_site_type_symbol
_atom_site_fract_x
_atom_site_fract_y
_atom_site_fract_z
Cr1 Cr 0.5000 0.5000 0.5000
Ir1 Ir 0.0000 0.0000 0.0000
Se1 Se 0.0000 0.5000 0.0000
Se2 Se 0.5000 0.0000 0.0000
N1 N 0.0000 0.0000 0.5000
```


# CrCuMo2

An optimized crystal structure of CrCuMo2 (PBE, Alexandria via LeMat-Bulk).

Results
For the density of states at the Fermi level, the calculation gives 3.5 states/eV/cell. Its density is 9050 kg/m3. The energy above the most stable polymorph in this dataset comes out at 98 meV per atom. The value obtained for the formation energy is 0.27 eV per atom.

Geometry as CIF:
```
data_CrCuMo2
_chemical_formula_sum 'Cr1 Cu1 Mo2'
_cell_length_a 3.1669
_cell_length_b 3.1669
_cell_length_c 5.6241
_cell_angle_alpha 90.00
_cell_angle_beta 90.00
_cell_angle_gamma 90.00
_symmetry_space_group_name_H-M 'P 1'
_symmetry_Int_Tables_number 1
loop_
_symmetry_equiv_pos_as_xyz
'x,y,z'
loop_
_atom_site_label
_atom_site_type_symbol
_atom_site_fract_x
_atom_site_fract_y
_atom_site_fract_z
Cr1 Cr 0.0000 0.0000 0.5081
Cu1 Cu 0.5000 0.5000 0.7399
Mo1 Mo 0.0000 0.0000 0.9932
Mo2 Mo 0.5000 0.5000 0.2589
```


# BaCo2Si

An optimized crystal structure of BaCo2Si (PBE, Alexandria via LeMat-Bulk).

Results
For the density of states at the Fermi level, the calculation gives 3.0 states/eV/cell. Its density is 6867 kg/m3. The electronic total energy comes out at -4.602 eV per atom.

Geometry as CIF:
```
data_BaCo2Si
_chemical_formula_sum 'Ba1 Co2 Si1'
_cell_length_a 4.5093
_cell_length_b 4.5093
_cell_length_c 3.3690
_cell_angle_alpha 89.82
_cell_angle_beta 89.82
_cell_angle_gamma 89.98
_symmetry_space_group_name_H-M 'P 1'
_symmetry_Int_Tables_number 1
loop_
_symmetry_equiv_pos_as_xyz
'x,y,z'
loop_
_atom_site_label
_atom_site_type_symbol
_atom_site_fract_x
_atom_site_fract_y
_atom_site_fract_z
Ba1 Ba 0.0000 0.5000 0.5000
Co1 Co 0.0000 0.0000 0.0000
Co2 Co 0.5000 0.5000 0.0000
Si1 Si 0.5000 0.0000 0.5000
```